Entry 1:
10
Lattice="-3.559 1.001 2.753 -0.616 -4.491 0.836 6.894 0.668 8.668" Properties=species:S:1:pos:R:3 comment="Ac2Al3InAg4 | Alexandria | PBE | optimized geometry" formation_energy_mev_per_atom=-323 mass_density_g_cm3=7.62 spacegroup=P-4m2 pbc="T T T"
Ac -0.110 0.662 3.476
Ac 4.917 -1.739 6.987
Al 3.447 0.334 4.334
Al 4.269 1.086 8.981
Al 0.538 -2.163 1.482
In 1.360 -1.411 6.129
Ag -2.087 -1.745 1.795
Ag 0.000 0.000 0.000
Ag 2.648 0.929 6.944
Ag 2.159 -2.006 3.519


Entry 2:
12
Lattice="-6.216 2.180 1.268 -2.108 -2.660 -5.764 -0.284 -4.275 5.958" Properties=species:S:1:pos:R:3 comment="AcAlInAg3 | Alexandria | PBE | optimized geometry" formation_energy_mev_per_atom=-109 mass_density_g_cm3=7.85 spacegroup=Cmcm pbc="T T T"
Ac -5.449 -1.662 2.760
Ac -3.159 -3.093 -1.298
Al -3.814 -5.837 0.207
Al -4.794 1.082 1.254
In -2.519 -3.495 2.534
In -6.090 -1.260 -1.073
Ag -1.950 -1.113 1.227
Ag -0.598 -0.754 -1.635
Ag -4.618 -0.815 -3.495
Ag -3.706 0.336 -1.001
Ag -1.510 -1.905 -4.129
Ag -6.658 -3.642 0.235


Entry 3:
4
Lattice="5.254 0.000 0.000 2.627 4.550 0.000 2.627 1.517 4.290" Properties=species:S:1:pos:R:3 comment="AcAlInAg | Alexandria | PBE | optimized geometry" formation_energy_mev_per_atom=-198 mass_density_g_cm3=7.72 spacegroup=F-43m pbc="T T T"
Ac 5.254 3.033 2.145
Al 7.881 4.550 3.217
Ag 2.627 1.517 1.072
In 0.000 0.000 0.000


Total magnetization list, top to bottom, in μB/cell: 0.0; 0.0; 0.0